(1)
# KSrAsO4

A relaxed structure of KSrAsO4 (PBE, Alexandria).

The structure in POSCAR format:
```
KSrAsO4
1.0
3.250 -5.115 0.000
3.250 5.115 0.000
0.000 0.000 7.562
K Sr As O
2 2 2 8
direct
0.000 0.000 0.000
0.000 0.000 0.500
0.327 0.673 0.750
0.673 0.327 0.250
0.359 0.641 0.250
0.641 0.359 0.750
0.253 0.327 0.250
0.261 0.739 0.065
0.261 0.739 0.435
0.327 0.253 0.750
0.673 0.747 0.250
0.739 0.261 0.565
0.739 0.261 0.935
0.747 0.673 0.750
```

* final energy: -5.904 eV per atom

=====

(2)
# K3SrAs2O6

A relaxed structure of K3SrAs2O6 (PBE, Alexandria).

The structure in POSCAR format:
```
K3SrAs2O6
1.0
6.185 0.000 0.000
-3.093 5.357 0.000
0.000 0.000 7.183
K Sr As O
3 1 2 6
direct
0.000 0.000 0.000
0.333 0.667 0.664
0.667 0.333 0.336
0.000 0.000 0.500
0.333 0.667 0.192
0.667 0.333 0.808
0.183 0.366 0.290
0.183 0.817 0.290
0.366 0.183 0.710
0.634 0.817 0.290
0.817 0.183 0.710
0.817 0.634 0.710
```

* final energy: -5.442 eV per atom

=====

(3)
# KSrAs2O6

A relaxed structure of KSrAs2O6 (PBE, Alexandria).

The structure in POSCAR format:
```
KSrAs2O6
1.0
5.453 -5.259 0.000
5.453 5.259 0.000
-1.811 0.000 6.020
K Sr As O
2 2 4 12
direct
0.191 0.809 0.750
0.809 0.191 0.250
0.390 0.610 0.250
0.610 0.390 0.750
0.131 0.291 0.761
0.291 0.131 0.261
0.709 0.869 0.739
0.869 0.709 0.239
0.078 0.619 0.305
0.139 0.170 0.000
0.170 0.139 0.500
0.298 0.455 0.847
0.381 0.922 0.195
0.455 0.298 0.347
0.545 0.702 0.653
0.619 0.078 0.805
0.702 0.545 0.153
0.830 0.861 0.500
0.861 0.830 0.000
0.922 0.381 0.695
```

* final energy: -5.906 eV per atom

=====

(4)
# KTaAsO6

A relaxed structure of KTaAsO6 (PBE, Alexandria).

The structure in POSCAR format:
```
KTaAsO6
1.0
5.250 0.000 0.000
-2.625 4.547 0.000
0.000 0.000 11.805
K Ta As O
2 2 2 12
direct
0.000 0.000 0.000
0.000 0.000 0.500
0.333 0.667 0.250
0.667 0.333 0.750
0.333 0.667 0.750
0.667 0.333 0.250
0.020 0.404 0.660
0.020 0.616 0.840
0.384 0.404 0.840
0.384 0.980 0.660
0.404 0.020 0.160
0.404 0.384 0.340
0.596 0.616 0.660
0.596 0.980 0.840
0.616 0.020 0.340
0.616 0.596 0.160
0.980 0.384 0.160
0.980 0.596 0.340
```

* final energy: -7.041 eV per atom

=====

Here are the calculated E_form (uncorrected) numbers, same order: -2010 -1773 -1723 -1780 (meV/atom).